VASP calculation (PBE) on a relaxed structure of GaRh6O12. Values from VASP.

The value obtained for the uncorrected formation energy is -0.6120 eV per atom. As for the calculated density: 7.2 g/cm³. The raw total energy is -6.2243 eV per atom. For the volume, the calculation gives 10.72 Å³/atom.

Quantum ESPRESSO input file:
```
&SYSTEM
  ibrav = 0, nat = 19, ntyp = 3
/
ATOMIC_SPECIES
Ga 69.72 Ga.upf
Rh 102.91 Rh.upf
O 16.00 O.upf
CELL_PARAMETERS angstrom
5.960 0.004 0.004
-0.900 5.892 0.004
-0.900 -1.048 5.798
ATOMIC_POSITIONS crystal
Ga 0.000 0.000 0.000
Rh 0.711 0.863 0.423
Rh 0.577 0.289 0.137
Rh 0.137 0.577 0.289
Rh 0.289 0.137 0.577
Rh 0.423 0.711 0.863
Rh 0.863 0.423 0.711
O 0.821 0.560 0.412
O 0.412 0.821 0.560
O 0.560 0.412 0.821
O 0.179 0.440 0.588
O 0.588 0.179 0.440
O 0.440 0.588 0.179
O 0.062 0.948 0.320
O 0.052 0.680 0.938
O 0.680 0.938 0.052
O 0.938 0.052 0.680
O 0.948 0.320 0.062
O 0.320 0.062 0.948
```

VASP calculation (PBE) on a relaxed structure of GaRhO3. Values from VASP.

The value obtained for the uncorrected formation energy is -0.3907 eV per atom. As for the calculated density: 6.3 g/cm³. The raw total energy is -5.4412 eV per atom. For the volume, the calculation gives 11.70 Å³/atom.

Quantum ESPRESSO input file:
```
&SYSTEM
  ibrav = 0, nat = 5, ntyp = 3
/
ATOMIC_SPECIES
Rh 102.91 Rh.upf
O 16.00 O.upf
Ga 69.72 Ga.upf
CELL_PARAMETERS angstrom
-0.009 -0.738 3.811
0.625 -3.762 -0.727
3.832 0.612 0.128
ATOMIC_POSITIONS crystal
Rh 0.000 0.000 0.000
O 0.000 0.500 0.000
O 0.000 0.000 0.500
O 0.500 0.000 0.000
Ga 0.500 0.500 0.500
```

VASP calculation (PBE) on a relaxed structure of GaRh2SO. Values from VASP.

The value obtained for the uncorrected formation energy is 0.0939 eV per atom. As for the calculated density: 7.4 g/cm³. The raw total energy is -5.2692 eV per atom. For the volume, the calculation gives 14.47 Å³/atom.

Quantum ESPRESSO input file:
```
&SYSTEM
  ibrav = 0, nat = 5, ntyp = 4
/
ATOMIC_SPECIES
S 32.06 S.upf
Rh 102.91 Rh.upf
O 16.00 O.upf
Ga 69.72 Ga.upf
CELL_PARAMETERS angstrom
-2.366 -3.672 1.222
2.840 -1.289 1.624
-1.248 2.079 3.833
ATOMIC_POSITIONS crystal
S 0.000 0.000 0.000
Rh 0.000 0.000 0.500
Rh 0.500 0.000 0.000
O 0.000 0.500 0.000
Ga 0.500 0.500 0.500
```

VASP calculation (PBE) on a relaxed structure of GaRhSe2O. Values from VASP.

The value obtained for the uncorrected formation energy is 0.5944 eV per atom. As for the calculated density: 5.2 g/cm³. The raw total energy is -3.8667 eV per atom. For the volume, the calculation gives 22.24 Å³/atom.

Quantum ESPRESSO input file:
```
&SYSTEM
  ibrav = 0, nat = 5, ntyp = 4
/
ATOMIC_SPECIES
O 16.00 O.upf
Rh 102.91 Rh.upf
Ga 69.72 Ga.upf
Se 78.96 Se.upf
CELL_PARAMETERS angstrom
4.774 0.000 0.000
0.000 4.880 0.000
0.000 0.000 4.774
ATOMIC_POSITIONS crystal
O 0.500 0.500 0.500
Rh 0.000 0.000 0.000
Ga 0.000 0.500 0.000
Se 0.000 0.000 0.500
Se 0.500 0.000 0.000
```

VASP calculation (PBE) on a relaxed structure of Sr2GaRhO5. Values from VASP.

The value obtained for the uncorrected formation energy is -1.9693 eV per atom. As for the calculated density: 5.9 g/cm³. The raw total energy is -6.2507 eV per atom. For the volume, the calculation gives 13.42 Å³/atom.

Quantum ESPRESSO input file:
```
&SYSTEM
  ibrav = 0, nat = 18, ntyp = 4
/
ATOMIC_SPECIES
Sr 87.62 Sr.upf
Ga 69.72 Ga.upf
Rh 102.91 Rh.upf
O 16.00 O.upf
CELL_PARAMETERS angstrom
-1.225 -1.370 2.808
1.046 -5.413 -4.190
9.948 -1.042 3.830
ATOMIC_POSITIONS crystal
Sr 0.854 0.708 0.805
Sr 0.102 0.204 0.673
Sr 0.146 0.292 0.305
Sr 0.898 0.796 0.173
Ga 0.534 0.067 0.950
Ga 0.466 0.933 0.450
Rh 0.785 0.571 0.524
Rh 0.215 0.429 0.024
O 0.379 0.757 0.999
O 0.686 0.371 0.908
O 0.496 0.992 0.784
O 0.280 0.559 0.646
O 0.940 0.880 0.535
O 0.621 0.243 0.499
O 0.314 0.629 0.408
O 0.504 0.008 0.284
O 0.720 0.441 0.146
O 0.060 0.120 0.035
```

VASP calculation (PBE) on a relaxed structure of TaGaRh2O. Values from VASP.

The value obtained for the uncorrected formation energy is -0.1452 eV per atom. As for the calculated density: 8.5 g/cm³. The raw total energy is -7.0533 eV per atom. For the volume, the calculation gives 18.37 Å³/atom.

Quantum ESPRESSO input file:
```
&SYSTEM
  ibrav = 0, nat = 5, ntyp = 4
/
ATOMIC_SPECIES
Rh 102.91 Rh.upf
O 16.00 O.upf
Ga 69.72 Ga.upf
Ta 180.95 Ta.upf
CELL_PARAMETERS angstrom
4.904 0.000 0.000
0.000 3.820 0.000
0.000 0.000 4.904
ATOMIC_POSITIONS crystal
Rh 0.000 0.000 0.500
Rh 0.500 0.000 0.000
O 0.000 0.500 0.000
Ga 0.500 0.500 0.500
Ta 0.000 0.000 0.000
```

VASP calculation (PBE) on a relaxed structure of TbGaRhO4. Values from VASP.

The value obtained for the uncorrected formation energy is -1.7799 eV per atom. As for the calculated density: 6.9 g/cm³. The raw total energy is -6.7572 eV per atom. For the volume, the calculation gives 13.52 Å³/atom.

Quantum ESPRESSO input file:
```
&SYSTEM
  ibrav = 0, nat = 14, ntyp = 4
/
ATOMIC_SPECIES
Tb 158.93 Tb.upf
Ga 69.72 Ga.upf
Rh 102.91 Rh.upf
O 16.00 O.upf
CELL_PARAMETERS angstrom
-1.272 -5.201 -0.334
2.427 1.158 4.642
-6.295 1.350 2.954
ATOMIC_POSITIONS crystal
Tb 0.500 0.500 0.500
Tb 0.500 0.500 0.000
Ga 0.129 0.871 0.250
Ga 0.871 0.129 0.750
Rh 0.789 0.211 0.250
Rh 0.211 0.789 0.750
O 0.248 0.252 0.750
O 0.748 0.752 0.750
O 0.758 0.242 0.970
O 0.758 0.242 0.530
O 0.242 0.758 0.030
O 0.242 0.758 0.470
O 0.752 0.748 0.250
O 0.252 0.248 0.250
```

VASP calculation (PBE) on a relaxed structure of GaTeRhO5. Values from VASP.

The value obtained for the uncorrected formation energy is -0.8723 eV per atom. As for the calculated density: 6.0 g/cm³. The raw total energy is -5.6612 eV per atom. For the volume, the calculation gives 13.13 Å³/atom.

Quantum ESPRESSO input file:
```
&SYSTEM
  ibrav = 0, nat = 16, ntyp = 4
/
ATOMIC_SPECIES
Ga 69.72 Ga.upf
Te 127.60 Te.upf
Rh 102.91 Rh.upf
O 16.00 O.upf
CELL_PARAMETERS angstrom
5.741 0.134 -0.396
-1.548 5.530 -0.396
-2.197 -2.968 6.988
ATOMIC_POSITIONS crystal
Ga 0.000 0.000 0.500
Ga 0.000 0.000 0.000
Te 0.725 0.275 0.250
Te 0.275 0.725 0.750
Rh 0.266 0.734 0.250
Rh 0.734 0.266 0.750
O 0.051 0.949 0.250
O 0.949 0.051 0.750
O 0.906 0.358 0.067
O 0.094 0.642 0.933
O 0.642 0.094 0.433
O 0.358 0.906 0.567
O 0.787 0.631 0.419
O 0.213 0.369 0.581
O 0.369 0.213 0.081
O 0.631 0.787 0.919
```

VASP calculation (PBE) on a relaxed structure of Tl2GaRh2O6. Values from VASP.

The value obtained for the uncorrected formation energy is -0.9145 eV per atom. As for the calculated density: 8.0 g/cm³. The raw total energy is -5.6610 eV per atom. For the volume, the calculation gives 14.74 Å³/atom.

Quantum ESPRESSO input file:
```
&SYSTEM
  ibrav = 0, nat = 11, ntyp = 4
/
ATOMIC_SPECIES
Tl 204.38 Tl.upf
Ga 69.72 Ga.upf
Rh 102.91 Rh.upf
O 16.00 O.upf
CELL_PARAMETERS angstrom
-2.780 3.455 -3.079
-1.728 -5.080 0.600
-1.980 2.311 5.928
ATOMIC_POSITIONS crystal
Tl 0.833 0.167 0.000
Tl 0.167 0.833 0.000
Ga 0.000 0.000 0.500
Rh 0.334 0.666 0.500
Rh 0.666 0.334 0.500
O 0.723 0.723 0.656
O 0.050 0.384 0.656
O 0.277 0.277 0.344
O 0.384 0.050 0.656
O 0.950 0.616 0.344
O 0.616 0.950 0.344
```

VASP calculation (PBE) on a relaxed structure of UGaRhO6. Values from VASP.

The value obtained for the uncorrected formation energy is -1.9121 eV per atom. As for the calculated density: 8.0 g/cm³. The raw total energy is -7.6250 eV per atom. For the volume, the calculation gives 11.75 Å³/atom.

Quantum ESPRESSO input file:
```
&SYSTEM
  ibrav = 0, nat = 18, ntyp = 4
/
ATOMIC_SPECIES
U 238.03 U.upf
Ga 69.72 Ga.upf
Rh 102.91 Rh.upf
O 16.00 O.upf
CELL_PARAMETERS angstrom
-0.315 -5.107 -1.256
2.357 3.380 -3.283
7.687 -1.462 4.014
ATOMIC_POSITIONS crystal
U 0.667 0.333 0.250
U 0.333 0.667 0.750
Ga 0.333 0.667 0.250
Ga 0.667 0.333 0.750
Rh 0.000 0.000 0.000
Rh 0.000 0.000 0.500
O 0.662 0.673 0.128
O 0.011 0.338 0.128
O 0.338 0.011 0.628
O 0.989 0.662 0.872
O 0.327 0.338 0.372
O 0.011 0.673 0.372
O 0.673 0.011 0.872
O 0.662 0.989 0.372
O 0.989 0.327 0.628
O 0.327 0.989 0.128
O 0.673 0.662 0.628
O 0.338 0.327 0.872
```

VASP calculation (PBE) on a relaxed structure of ZnGaRhO2. Values from VASP.

The value obtained for the uncorrected formation energy is -0.1650 eV per atom. As for the calculated density: 5.7 g/cm³. The raw total energy is -4.4787 eV per atom. For the volume, the calculation gives 15.72 Å³/atom.

Quantum ESPRESSO input file:
```
&SYSTEM
  ibrav = 0, nat = 5, ntyp = 4
/
ATOMIC_SPECIES
Zn 65.41 Zn.upf
Rh 102.91 Rh.upf
O 16.00 O.upf
Ga 69.72 Ga.upf
CELL_PARAMETERS angstrom
-3.593 0.464 1.176
1.612 -0.561 5.143
0.562 3.760 0.234
ATOMIC_POSITIONS crystal
Zn 0.000 0.500 0.000
Rh 0.000 0.000 0.000
O 0.000 0.000 0.500
O 0.500 0.000 0.000
Ga 0.500 0.500 0.500
```

VASP calculation (PBE) on a relaxed structure of GaRuO3. Values from VASP.

The value obtained for the uncorrected formation energy is -0.3309 eV per atom. As for the calculated density: 6.5 g/cm³. The raw total energy is -5.7664 eV per atom. For the volume, the calculation gives 11.20 Å³/atom.

Quantum ESPRESSO input file:
```
&SYSTEM
  ibrav = 0, nat = 5, ntyp = 3
/
ATOMIC_SPECIES
Ru 101.07 Ru.upf
O 16.00 O.upf
Ga 69.72 Ga.upf
CELL_PARAMETERS angstrom
-2.539 1.471 -2.455
2.078 -1.309 -2.933
-1.968 -3.280 0.070
ATOMIC_POSITIONS crystal
Ru 0.500 0.500 0.500
O 0.000 0.500 0.000
O 0.000 0.000 0.500
O 0.500 0.000 0.000
Ga 0.000 0.000 0.000
```

VASP calculation (PBE) on a relaxed structure of GaRuO2. Values from VASP.

The value obtained for the uncorrected formation energy is -0.5179 eV per atom. As for the calculated density: 6.7 g/cm³. The raw total energy is -6.0727 eV per atom. For the volume, the calculation gives 12.59 Å³/atom.

Quantum ESPRESSO input file:
```
&SYSTEM
  ibrav = 0, nat = 8, ntyp = 3
/
ATOMIC_SPECIES
Ru 101.07 Ru.upf
O 16.00 O.upf
Ga 69.72 Ga.upf
CELL_PARAMETERS angstrom
-4.307 -0.647 1.944
1.712 -3.622 2.588
-0.252 0.684 5.519
ATOMIC_POSITIONS crystal
Ru 0.000 0.000 0.000
Ru 0.750 0.250 0.500
O 0.571 0.125 0.250
O 0.179 0.625 0.250
O 0.375 0.429 0.750
O 0.875 0.821 0.750
Ga 0.500 0.500 0.000
Ga 0.250 0.750 0.500
```

VASP calculation (PBE) on a relaxed structure of Ga3RuO. Values from VASP.

The value obtained for the uncorrected formation energy is 0.2708 eV per atom. As for the calculated density: 4.9 g/cm³. The raw total energy is -4.3921 eV per atom. For the volume, the calculation gives 21.97 Å³/atom.

Quantum ESPRESSO input file:
```
&SYSTEM
  ibrav = 0, nat = 5, ntyp = 3
/
ATOMIC_SPECIES
Ru 101.07 Ru.upf
O 16.00 O.upf
Ga 69.72 Ga.upf
CELL_PARAMETERS angstrom
4.789 0.000 0.000
0.000 4.789 0.000
0.000 0.000 4.789
ATOMIC_POSITIONS crystal
Ru 0.000 0.000 0.000
O 0.500 0.500 0.500
Ga 0.000 0.500 0.000
Ga 0.000 0.000 0.500
Ga 0.500 0.000 0.000
```

VASP calculation (PBE) on a relaxed structure of GaRuO3. Values from VASP.

The value obtained for the uncorrected formation energy is -0.6710 eV per atom. As for the calculated density: 6.2 g/cm³. The raw total energy is -6.1064 eV per atom. For the volume, the calculation gives 11.74 Å³/atom.

Quantum ESPRESSO input file:
```
&SYSTEM
  ibrav = 0, nat = 5, ntyp = 3
/
ATOMIC_SPECIES
Ru 101.07 Ru.upf
O 16.00 O.upf
Ga 69.72 Ga.upf
CELL_PARAMETERS angstrom
3.887 0.000 0.000
0.000 3.887 0.000
0.000 0.000 3.887
ATOMIC_POSITIONS crystal
Ru 0.000 0.000 0.000
O 0.000 0.500 0.000
O 0.000 0.000 0.500
O 0.500 0.000 0.000
Ga 0.500 0.500 0.500
```

VASP calculation (PBE) on a relaxed structure of GaRuO2. Values from VASP.

The value obtained for the uncorrected formation energy is -1.0396 eV per atom. As for the calculated density: 7.4 g/cm³. The raw total energy is -6.5944 eV per atom. For the volume, the calculation gives 11.31 Å³/atom.

Quantum ESPRESSO input file:
```
&SYSTEM
  ibrav = 0, nat = 4, ntyp = 3
/
ATOMIC_SPECIES
Ru 101.07 Ru.upf
O 16.00 O.upf
Ga 69.72 Ga.upf
CELL_PARAMETERS angstrom
1.670 0.000 6.243
-0.835 1.446 6.243
-0.835 -1.446 6.243
ATOMIC_POSITIONS crystal
Ru 0.000 0.000 0.000
O 0.890 0.890 0.890
O 0.110 0.110 0.110
Ga 0.500 0.500 0.500
```

VASP calculation (PBE) on a relaxed structure of GaRuO2. Values from VASP.

The value obtained for the uncorrected formation energy is -0.6921 eV per atom. As for the calculated density: 6.7 g/cm³. The raw total energy is -6.2469 eV per atom. For the volume, the calculation gives 12.63 Å³/atom.

Quantum ESPRESSO input file:
```
&SYSTEM
  ibrav = 0, nat = 4, ntyp = 3
/
ATOMIC_SPECIES
Ru 101.07 Ru.upf
O 16.00 O.upf
Ga 69.72 Ga.upf
CELL_PARAMETERS angstrom
1.716 0.000 6.606
-0.858 1.486 6.606
-0.858 -1.486 6.606
ATOMIC_POSITIONS crystal
Ru 0.500 0.500 0.500
O 0.893 0.893 0.893
O 0.107 0.107 0.107
Ga 0.000 0.000 0.000
```

VASP calculation (PBE) on a relaxed structure of GaSbRuO6. Values from VASP.

The value obtained for the uncorrected formation energy is -1.3547 eV per atom. As for the calculated density: 6.4 g/cm³. The raw total energy is -6.4852 eV per atom. For the volume, the calculation gives 11.20 Å³/atom.

Quantum ESPRESSO input file:
```
&SYSTEM
  ibrav = 0, nat = 18, ntyp = 4
/
ATOMIC_SPECIES
Ga 69.72 Ga.upf
Sb 121.76 Sb.upf
Ru 101.07 Ru.upf
O 16.00 O.upf
CELL_PARAMETERS angstrom
4.637 0.000 0.000
0.000 4.637 0.000
0.000 0.000 9.377
ATOMIC_POSITIONS crystal
Ga 0.500 0.500 0.833
Ga 0.000 0.000 0.333
Sb 0.500 0.500 0.166
Sb 0.000 0.000 0.666
Ru 0.500 0.500 0.499
Ru 0.000 0.000 0.999
O 0.195 0.805 0.499
O 0.805 0.195 0.499
O 0.305 0.305 0.999
O 0.695 0.695 0.999
O 0.191 0.809 0.168
O 0.809 0.191 0.168
O 0.309 0.309 0.668
O 0.691 0.691 0.668
O 0.806 0.194 0.835
O 0.194 0.806 0.835
O 0.694 0.694 0.335
O 0.306 0.306 0.335
```

VASP calculation (PBE) on a relaxed structure of GaSnRuO6. Values from VASP.

The value obtained for the uncorrected formation energy is -1.3012 eV per atom. As for the calculated density: 6.3 g/cm³. The raw total energy is -6.4184 eV per atom. For the volume, the calculation gives 11.25 Å³/atom.

Quantum ESPRESSO input file:
```
&SYSTEM
  ibrav = 0, nat = 18, ntyp = 4
/
ATOMIC_SPECIES
Ga 69.72 Ga.upf
Sn 118.71 Sn.upf
Ru 101.07 Ru.upf
O 16.00 O.upf
CELL_PARAMETERS angstrom
5.102 0.000 0.000
-2.551 4.418 0.000
0.000 0.000 8.984
ATOMIC_POSITIONS crystal
Ga 0.667 0.333 0.250
Ga 0.333 0.667 0.750
Sn 0.000 0.000 0.000
Sn 0.000 0.000 0.500
Ru 0.333 0.667 0.250
Ru 0.667 0.333 0.750
O 0.652 0.655 0.131
O 0.003 0.348 0.131
O 0.348 0.003 0.631
O 0.997 0.652 0.869
O 0.345 0.348 0.369
O 0.003 0.655 0.369
O 0.655 0.003 0.869
O 0.652 0.997 0.369
O 0.997 0.345 0.631
O 0.345 0.997 0.131
O 0.655 0.652 0.631
O 0.348 0.345 0.869
```

VASP calculation (PBE) on a relaxed structure of Sr2GaRuO6. Values from VASP.

The value obtained for the uncorrected formation energy is -1.9800 eV per atom. As for the calculated density: 5.9 g/cm³. The raw total energy is -6.5216 eV per atom. For the volume, the calculation gives 12.35 Å³/atom.

Quantum ESPRESSO input file:
```
&SYSTEM
  ibrav = 0, nat = 20, ntyp = 4
/
ATOMIC_SPECIES
Sr 87.62 Sr.upf
Ga 69.72 Ga.upf
Ru 101.07 Ru.upf
O 16.00 O.upf
CELL_PARAMETERS angstrom
-0.076 1.108 -5.479
5.406 -1.378 -0.353
-2.009 -7.500 -1.489
ATOMIC_POSITIONS crystal
Sr 0.500 0.750 0.250
Sr 0.000 0.250 0.750
Sr 0.500 0.750 0.750
Sr 0.000 0.250 0.250
Ga 0.500 0.250 0.500
Ga 0.000 0.750 0.000
Ru 0.000 0.750 0.500
Ru 0.500 0.250 0.000
O 0.500 0.250 0.249
O 0.500 0.250 0.751
O 0.000 0.750 0.251
O 0.000 0.750 0.749
O 0.249 0.999 0.500
O 0.751 0.999 0.500
O 0.249 0.501 0.500
O 0.751 0.501 0.500
O 0.749 0.499 0.000
O 0.251 0.499 0.000
O 0.251 0.001 0.000
O 0.749 0.001 0.000
```